[1]
A plane-wave DFT calculation with PBE was carried out for a relaxed structure of Dy3Zn2Ga4.

Lattice parameters (Å, degrees): 5.7264 5.7264 8.4155 108.43 108.43 44.98
Fractional positions:
Dy (0.0000, 0.0000, 0.0000)
Dy (0.3308, 0.3308, 0.3332)
Dy (0.6692, 0.6692, 0.6668)
Zn (0.3956, 0.3956, 0.7260)
Zn (0.6044, 0.6044, 0.2740)
Ga (0.0652, 0.0652, 0.3993)
Ga (0.2944, 0.2944, 0.9592)
Ga (0.7056, 0.7056, 0.0408)
Ga (0.9348, 0.9348, 0.6007)

Calculated values
**Energy relative to the elements**: -594 meV per atom
**Magnetic moment**: 0.00 μB/f.u.

=====

[2]
A plane-wave DFT calculation with PBE was carried out for a relaxed structure of DyZn2Ga.

Lattice parameters (Å, degrees): 5.5462 5.5462 5.5462 45.19 45.19 45.19
Fractional positions:
Dy (0.0000, 0.0000, 0.0000)
Zn (0.2183, 0.2183, 0.2183)
Zn (0.7817, 0.7817, 0.7817)
Ga (0.5000, 0.5000, 0.5000)

Calculated values
**Energy relative to the elements**: -300 meV per atom
**Magnetic moment**: 0.00 μB/f.u.

=====

[3]
A plane-wave DFT calculation with PBE was carried out for a relaxed structure of Dy3ZnGa2.

Lattice parameters (Å, degrees): 5.0511 5.0511 12.3337 90.00 90.00 120.00
Fractional positions:
Dy (0.0000, 0.0000, 0.2503)
Dy (0.0000, 0.0000, 0.7497)
Dy (0.3333, 0.6667, 0.4174)
Dy (0.3333, 0.6667, 0.9176)
Dy (0.6667, 0.3333, 0.0824)
Dy (0.6667, 0.3333, 0.5826)
Zn (0.3333, 0.6667, 0.1681)
Zn (0.6667, 0.3333, 0.8319)
Ga (0.0000, 0.0000, 0.0000)
Ga (0.0000, 0.0000, 0.5000)
Ga (0.3333, 0.6667, 0.6723)
Ga (0.6667, 0.3333, 0.3277)

Calculated values
**Energy relative to the elements**: -519 meV per atom
**Magnetic moment**: 0.00 μB/f.u.

=====

[4]
A plane-wave DFT calculation with PBE was carried out for a relaxed structure of Dy2Zn12Ga5.

Lattice parameters (Å, degrees): 6.8858 6.8858 6.8858 85.32 85.32 85.32
Fractional positions:
Dy (0.1683, 0.1683, 0.1683)
Dy (0.8317, 0.8317, 0.8317)
Zn (0.1507, 0.1507, 0.6775)
Zn (0.1507, 0.6775, 0.1507)
Zn (0.1800, 0.5000, 0.8200)
Zn (0.1800, 0.8200, 0.5000)
Zn (0.3225, 0.8493, 0.8493)
Zn (0.5000, 0.1800, 0.8200)
Zn (0.5000, 0.8200, 0.1800)
Zn (0.6775, 0.1507, 0.1507)
Zn (0.8200, 0.1800, 0.5000)
Zn (0.8200, 0.5000, 0.1800)
Zn (0.8493, 0.3225, 0.8493)
Zn (0.8493, 0.8493, 0.3225)
Ga (0.0000, 0.5000, 0.5000)
Ga (0.4010, 0.4010, 0.4010)
Ga (0.5000, 0.0000, 0.5000)
Ga (0.5000, 0.5000, 0.0000)
Ga (0.5990, 0.5990, 0.5990)

Calculated values
**Energy relative to the elements**: -173 meV per atom
**Magnetic moment**: 0.00 μB/f.u.

=====

[5]
A plane-wave DFT calculation with PBE was carried out for a relaxed structure of Dy2ZnGa5.

Lattice parameters (Å, degrees): 6.0091 6.0091 6.0091 119.93 119.93 90.13
Fractional positions:
Dy (0.0000, 0.5000, 0.5000)
Dy (0.5000, 0.0000, 0.5000)
Zn (0.0031, 0.0031, 0.0000)
Ga (0.4983, 0.4983, 0.0000)
Ga (0.5010, 0.5010, 0.5020)
Ga (0.5010, 0.9990, 0.0000)
Ga (0.9990, 0.5010, 0.0000)
Ga (0.9990, 0.9990, 0.4980)

Calculated values
**Energy relative to the elements**: -500 meV per atom
**Magnetic moment**: 0.00 μB/f.u.

=====

[6]
A plane-wave DFT calculation with PBE was carried out for a relaxed structure of DyZn2Ga4.

Lattice parameters (Å, degrees): 10.4222 10.4222 10.4222 22.56 22.56 22.56
Fractional positions:
Dy (0.0000, 0.0000, 0.0000)
Zn (0.1864, 0.1864, 0.1864)
Zn (0.8136, 0.8136, 0.8136)
Ga (0.1015, 0.1015, 0.1015)
Ga (0.2711, 0.2711, 0.2711)
Ga (0.7289, 0.7289, 0.7289)
Ga (0.8985, 0.8985, 0.8985)

Calculated values
**Energy relative to the elements**: -198 meV per atom
**Magnetic moment**: 0.00 μB/f.u.

=====

[7]
A plane-wave DFT calculation with PBE was carried out for a relaxed structure of DyZn6Ga6.

Lattice parameters (Å, degrees): 6.9396 6.9396 6.9396 132.65 100.26 98.30
Fractional positions:
Dy (0.0000, 0.0000, 0.0000)
Zn (0.0000, 0.0000, 0.5000)
Zn (0.0000, 0.5000, 0.0000)
Zn (0.2326, 0.5000, 0.7326)
Zn (0.5000, 0.0000, 0.0000)
Zn (0.5000, 0.5000, 0.5000)
Zn (0.7674, 0.5000, 0.2674)
Ga (0.1815, 0.6815, 0.5000)
Ga (0.3475, 0.3475, 0.0000)
Ga (0.3527, 0.0000, 0.3527)
Ga (0.6473, 0.0000, 0.6473)
Ga (0.6525, 0.6525, 0.0000)
Ga (0.8185, 0.3185, 0.5000)

Calculated values
**Energy relative to the elements**: -113 meV per atom
**Magnetic moment**: 0.00 μB/f.u.

=====

[8]
A plane-wave DFT calculation with PBE was carried out for a relaxed structure of Dy6Zn5Ga.

Lattice parameters (Å, degrees): 7.9780 7.9780 7.1598 90.00 90.00 143.19
Fractional positions:
Dy (0.0000, 0.0000, 0.2492)
Dy (0.0000, 0.0000, 0.7508)
Dy (0.3337, 0.6663, 0.2502)
Dy (0.3337, 0.6663, 0.7498)
Dy (0.6663, 0.3337, 0.2502)
Dy (0.6663, 0.3337, 0.7498)
Zn (0.1671, 0.8329, 0.5000)
Zn (0.1698, 0.8302, 0.0000)
Zn (0.5000, 0.5000, 0.5000)
Zn (0.8302, 0.1698, 0.0000)
Zn (0.8329, 0.1671, 0.5000)
Ga (0.5000, 0.5000, 0.0000)

Calculated values
**Energy relative to the elements**: -386 meV per atom
**Magnetic moment**: 0.00 μB/f.u.

=====

[9]
A plane-wave DFT calculation with PBE was carried out for a relaxed structure of Dy3Zn6Ga5.

Lattice parameters (Å, degrees): 4.2335 12.4963 9.6710 90.00 90.00 90.00
Fractional positions:
Dy (0.2500, 0.0607, 0.2485)
Dy (0.2500, 0.4393, 0.2485)
Dy (0.2500, 0.7500, 0.2519)
Dy (0.7500, 0.2500, 0.7481)
Dy (0.7500, 0.5607, 0.7515)
Dy (0.7500, 0.9393, 0.7515)
Zn (0.2500, 0.0888, 0.6167)
Zn (0.2500, 0.2500, 0.0410)
Zn (0.2500, 0.2500, 0.4547)
Zn (0.2500, 0.4112, 0.6167)
Zn (0.2500, 0.6026, 0.9785)
Zn (0.2500, 0.8974, 0.9785)
Zn (0.7500, 0.1026, 0.0215)
Zn (0.7500, 0.3974, 0.0215)
Zn (0.7500, 0.5888, 0.3833)
Zn (0.7500, 0.7500, 0.5453)
Zn (0.7500, 0.7500, 0.9590)
Zn (0.7500, 0.9112, 0.3833)
Ga (0.2500, 0.0923, 0.8736)
Ga (0.2500, 0.4077, 0.8736)
Ga (0.2500, 0.6103, 0.5272)
Ga (0.2500, 0.7500, 0.7649)
Ga (0.2500, 0.8897, 0.5272)
Ga (0.7500, 0.1103, 0.4728)
Ga (0.7500, 0.2500, 0.2351)
Ga (0.7500, 0.3897, 0.4728)
Ga (0.7500, 0.5923, 0.1264)
Ga (0.7500, 0.9077, 0.1264)

Calculated values
**Energy relative to the elements**: -439 meV per atom
**Magnetic moment**: 0.00 μB/f.u.

=====

[10]
A plane-wave DFT calculation with PBE was carried out for a relaxed structure of Dy6ZnGa2.

Lattice parameters (Å, degrees): 8.5816 8.5816 8.5816 146.57 131.85 59.88
Fractional positions:
Dy (0.0821, 0.3338, 0.7483)
Dy (0.2478, 0.0000, 0.2478)
Dy (0.4145, 0.6662, 0.7483)
Dy (0.5855, 0.3338, 0.2517)
Dy (0.7522, 0.0000, 0.7522)
Dy (0.9179, 0.6662, 0.2517)
Zn (0.0000, 0.5000, 0.5000)
Ga (0.3331, 0.8331, 0.5000)
Ga (0.6669, 0.1669, 0.5000)

Calculated values
**Energy relative to the elements**: -153 meV per atom
**Magnetic moment**: 0.00 μB/f.u.

=====

[11]
A plane-wave DFT calculation with PBE was carried out for a relaxed structure of DyZn3Ga3.

Lattice parameters (Å, degrees): 8.3198 8.3198 8.3198 60.00 60.00 60.00
Fractional positions:
Dy (0.2500, 0.2500, 0.2500)
Dy (0.7500, 0.7500, 0.7500)
Zn (0.1512, 0.1512, 0.8488)
Zn (0.1512, 0.8488, 0.1512)
Zn (0.1512, 0.8488, 0.8488)
Zn (0.8488, 0.1512, 0.1512)
Zn (0.8488, 0.1512, 0.8488)
Zn (0.8488, 0.8488, 0.1512)
Ga (0.3443, 0.3443, 0.6557)
Ga (0.3443, 0.6557, 0.3443)
Ga (0.3443, 0.6557, 0.6557)
Ga (0.6557, 0.3443, 0.3443)
Ga (0.6557, 0.3443, 0.6557)
Ga (0.6557, 0.6557, 0.3443)

Calculated values
**Energy relative to the elements**: 555 meV per atom
**Magnetic moment**: 0.00 μB/f.u.

=====

[12]
A plane-wave DFT calculation with PBE was carried out for a relaxed structure of Dy4ZnGa.

Lattice parameters (Å, degrees): 4.9272 4.9272 7.0597 90.00 90.00 90.00
Fractional positions:
Dy (0.0000, 0.5000, 0.2470)
Dy (0.0000, 0.5000, 0.7530)
Dy (0.5000, 0.0000, 0.2470)
Dy (0.5000, 0.0000, 0.7530)
Zn (0.0000, 0.0000, 0.0000)
Ga (0.5000, 0.5000, 0.5000)

Calculated values
**Energy relative to the elements**: -106 meV per atom
**Magnetic moment**: 0.00 μB/f.u.

=====

[13]
A plane-wave DFT calculation with PBE was carried out for a relaxed structure of DyZn2Ga.

Lattice parameters (Å, degrees): 9.3693 9.3693 4.2133 90.00 90.00 155.26
Fractional positions:
Dy (0.1086, 0.8914, 0.7500)
Dy (0.8914, 0.1086, 0.2500)
Zn (0.2519, 0.7481, 0.2500)
Zn (0.4681, 0.5319, 0.7500)
Zn (0.5319, 0.4681, 0.2500)
Zn (0.7481, 0.2519, 0.7500)
Ga (0.3340, 0.6660, 0.7500)
Ga (0.6660, 0.3340, 0.2500)

Calculated values
**Energy relative to the elements**: -412 meV per atom
**Magnetic moment**: 0.00 μB/f.u.

=====

[14]
A plane-wave DFT calculation with PBE was carried out for a relaxed structure of DyZnGa2.

Lattice parameters (Å, degrees): 5.6595 5.6595 5.6595 43.94 43.94 43.94
Fractional positions:
Dy (0.0000, 0.0000, 0.0000)
Zn (0.5000, 0.5000, 0.5000)
Ga (0.2212, 0.2212, 0.2212)
Ga (0.7788, 0.7788, 0.7788)

Calculated values
**Energy relative to the elements**: -422 meV per atom
**Magnetic moment**: 0.00 μB/f.u.

=====

[15]
A plane-wave DFT calculation with PBE was carried out for a relaxed structure of Dy6ZnGa2.

Lattice parameters (Å, degrees): 8.5480 8.5480 8.5480 111.79 111.07 105.63
Fractional positions:
Dy (0.0306, 0.8239, 0.2067)
Dy (0.2462, 0.5506, 0.3044)
Dy (0.2462, 0.9418, 0.6956)
Dy (0.2700, 0.3229, 0.5929)
Dy (0.2700, 0.6771, 0.9470)
Dy (0.3828, 0.1761, 0.2067)
Dy (0.6172, 0.8239, 0.7933)
Dy (0.7300, 0.3229, 0.0530)
Dy (0.7300, 0.6771, 0.4071)
Dy (0.7538, 0.0582, 0.3044)
Dy (0.7538, 0.4494, 0.6956)
Dy (0.9694, 0.1761, 0.7933)
Zn (0.0000, 0.5000, 0.5000)
Zn (0.5000, 0.0000, 0.5000)
Ga (0.0000, 0.1476, 0.1476)
Ga (0.0000, 0.8524, 0.8524)
Ga (0.3773, 0.3773, 0.0000)
Ga (0.6227, 0.6227, 0.0000)

Calculated values
**Energy relative to the elements**: -349 meV per atom
**Magnetic moment**: 0.00 μB/f.u.

=====

[16]
A plane-wave DFT calculation with PBE was carried out for a relaxed structure of Dy4Zn5Ga2.

Lattice parameters (Å, degrees): 7.0727 3.7200 9.0109 90.00 93.17 90.00
Fractional positions:
Dy (0.1837, 0.0000, 0.3771)
Dy (0.2661, 0.0000, 0.9287)
Dy (0.7339, 0.0000, 0.0713)
Dy (0.8163, 0.0000, 0.6229)
Zn (0.1897, 0.5000, 0.6530)
Zn (0.4400, 0.5000, 0.2009)
Zn (0.5000, 0.5000, 0.5000)
Zn (0.5600, 0.5000, 0.7991)
Zn (0.8103, 0.5000, 0.3470)
Ga (0.0618, 0.5000, 0.1358)
Ga (0.9382, 0.5000, 0.8642)

Calculated values
**Energy relative to the elements**: -349 meV per atom
**Magnetic moment**: 0.00 μB/f.u.

=====

[17]
A plane-wave DFT calculation with PBE was carried out for a relaxed structure of DyZn4Ga3.

Lattice parameters (Å, degrees): 4.2189 4.2189 8.1646 90.00 90.00 90.00
Fractional positions:
Dy (0.0000, 0.0000, 0.0000)
Zn (0.0000, 0.5000, 0.3185)
Zn (0.0000, 0.5000, 0.6815)
Zn (0.5000, 0.0000, 0.3185)
Zn (0.5000, 0.0000, 0.6815)
Ga (0.0000, 0.0000, 0.5000)
Ga (0.5000, 0.5000, 0.1465)
Ga (0.5000, 0.5000, 0.8535)

Calculated values
**Energy relative to the elements**: -239 meV per atom
**Magnetic moment**: 0.00 μB/f.u.

=====

[18]
A plane-wave DFT calculation with PBE was carried out for a relaxed structure of DyZn2Ga.

Lattice parameters (Å, degrees): 4.7375 4.7375 4.7375 60.00 60.00 60.00
Fractional positions:
Dy (0.0000, 0.0000, 0.0000)
Zn (0.2500, 0.2500, 0.2500)
Zn (0.7500, 0.7500, 0.7500)
Ga (0.5000, 0.5000, 0.5000)

Calculated values
**Energy relative to the elements**: -272 meV per atom
**Magnetic moment**: 0.00 μB/f.u.

=====

[19]
A plane-wave DFT calculation with PBE was carried out for a relaxed structure of Dy5Zn2Ga2.

Lattice parameters (Å, degrees): 8.8537 8.8537 7.0444 90.00 90.00 54.57
Fractional positions:
Dy (0.0000, 0.0000, 0.0000)
Dy (0.0426, 0.6703, 0.6630)
Dy (0.1703, 0.5426, 0.1630)
Dy (0.3297, 0.9574, 0.6630)
Dy (0.4574, 0.8297, 0.1630)
Dy (0.5000, 0.5000, 0.5000)
Dy (0.5426, 0.1703, 0.8370)
Dy (0.6703, 0.0426, 0.3370)
Dy (0.8297, 0.4574, 0.8370)
Dy (0.9574, 0.3297, 0.3370)
Zn (0.1286, 0.8714, 0.3902)
Zn (0.3714, 0.6286, 0.8902)
Zn (0.6286, 0.3714, 0.1098)
Zn (0.8714, 0.1286, 0.6098)
Ga (0.2079, 0.2079, 0.0000)
Ga (0.2921, 0.2921, 0.5000)
Ga (0.7079, 0.7079, 0.5000)
Ga (0.7921, 0.7921, 0.0000)

Calculated values
**Energy relative to the elements**: -360 meV per atom
**Magnetic moment**: 0.00 μB/f.u.

=====

[20]
A plane-wave DFT calculation with PBE was carried out for a relaxed structure of DyZn5Ga2.

Lattice parameters (Å, degrees): 6.3802 6.3802 6.3802 143.72 111.11 80.42
Fractional positions:
Dy (0.0000, 0.0000, 0.0000)
Zn (0.1794, 0.3643, 0.8152)
Zn (0.4509, 0.6357, 0.8152)
Zn (0.5000, 0.0000, 0.5000)
Zn (0.5491, 0.3643, 0.1848)
Zn (0.8206, 0.6357, 0.1848)
Ga (0.2404, 0.7404, 0.5000)
Ga (0.7596, 0.2596, 0.5000)

Calculated values
**Energy relative to the elements**: -220 meV per atom
**Magnetic moment**: 0.00 μB/f.u.

=====

[21]
A plane-wave DFT calculation with PBE was carried out for a relaxed structure of Dy2ZrGa.

Lattice parameters (Å, degrees): 4.5671 4.5671 4.5928 90.00 90.00 90.00
Fractional positions:
Dy (0.0000, 0.5000, 0.0000)
Dy (0.5000, 0.0000, 0.0000)
Zr (0.0000, 0.0000, 0.5000)
Ga (0.5000, 0.5000, 0.5000)

Calculated values
**Energy relative to the elements**: -208 meV per atom
**Magnetic moment**: 0.00 μB/f.u.

=====

[22]
A plane-wave DFT calculation with PBE was carried out for a relaxed structure of DyZrGa2.

Lattice parameters (Å, degrees): 3.9169 5.7024 5.7024 42.74 90.00 90.00
Fractional positions:
Dy (0.0000, 0.0000, 0.0000)
Zr (0.5000, 0.7192, 0.7192)
Ga (0.0000, 0.2734, 0.2734)
Ga (0.5000, 0.4332, 0.4332)

Calculated values
**Energy relative to the elements**: -576 meV per atom
**Magnetic moment**: 0.00 μB/f.u.